Density functional theory data (SCAN) for a crystal of MnAsSe2S relaxed with PBEsol.

Properties
crystal system = tetragonal
E_form (uncorrected) = 297 kJ/mol of formula units

Cell: 4.9379 4.9379 4.7807 Å, 90.00 90.00 90.00°
Last column: nearest neighbours and their distance in Å.
Space group P4/mmm (No. 123)
One atom of each set of equivalent atoms:
Mn (0.0000, 0.0000, 0.0000) (multiplicity 1)  2 As 2.39
As (0.0000, 0.0000, 0.5000) (multiplicity 1)  2 Mn 2.39, 4 Se 2.47
Se (0.0000, 0.5000, 0.5000) (multiplicity 2)  2 As 2.47
S (0.5000, 0.5000, 0.0000) (multiplicity 1)  8 Se 3.44, 4 Mn 3.49

---

Density functional theory data (SCAN) for a crystal of MnSi2AsS relaxed with PBEsol.

Properties
crystal system = tetragonal
E_form (uncorrected) = 332 kJ/mol of formula units

Cell: 4.6260 4.6260 4.2893 Å, 90.00 90.00 90.00°
Last column: nearest neighbours and their distance in Å.
Space group P4/mmm (No. 123)
One atom of each set of equivalent atoms:
Mn (0.0000, 0.0000, 0.0000) (multiplicity 1)  2 S 2.14
Si (0.0000, 0.5000, 0.5000) (multiplicity 2)  2 S 2.31
As (0.5000, 0.5000, 0.0000) (multiplicity 1)  8 Si 3.15, 4 Mn 3.27
S (0.0000, 0.0000, 0.5000) (multiplicity 1)  2 Mn 2.14, 4 Si 2.31

---

Density functional theory data (SCAN) for a crystal of MnSbAs2 relaxed with PBEsol.

Properties
crystal system = tetragonal
E_form (uncorrected) = 78 kJ/mol of formula units

Cell: 4.7456 4.7456 3.4172 Å, 90.00 90.00 90.00°
Last column: nearest neighbours and their distance in Å.
Space group P4/mmm (No. 123)
One atom of each set of equivalent atoms:
Mn (0.0000, 0.0000, 0.0000) (multiplicity 1)  8 As 2.92
Sb (0.5000, 0.5000, 0.0000) (multiplicity 1)  8 As 2.92
As (0.0000, 0.5000, 0.5000) (multiplicity 2)  4 Mn 2.92, 4 Sb 2.92

---

Density functional theory data (SCAN) for a crystal of Mn4Sb3As relaxed with PBEsol.

Properties
crystal system = hexagonal
E_form (uncorrected) = -218 kJ/mol of formula units

Cell: 3.8740 3.8740 10.9787 Å, 90.00 90.00 120.00°
Last column: nearest neighbours and their distance in Å.
Space group P-6m2 (No. 187)
One atom of each set of equivalent atoms:
Mn (0.0000, 0.0000, 0.1144) (multiplicity 2)  1 Mn 2.51, 3 As 2.57, 3 Sb 2.66
Mn (0.0000, 0.0000, 0.3730) (multiplicity 2)  6 Sb 2.64, 2 Mn 2.79-2.84
Sb (0.3333, 0.6667, 0.5000) (multiplicity 1)  6 Mn 2.64
Sb (0.6667, 0.3333, 0.2449) (multiplicity 2)  6 Mn 2.64-2.66
As (0.3333, 0.6667, 0.0000) (multiplicity 1)  6 Mn 2.57